Entry 1:
# AsOs4Au, relaxed, DFT PBE
# energy of formation from the pure elements: 587 kJ/mol of formula units
# calculated total energy: -7.795 eV per atom
# M_tot: 0.00 Bohr magnetons per cell
data_AsOs4Au
_chemical_formula_sum 'As1 Os4 Au1'
_symmetry_space_group_name_H-M 'P 1'
_symmetry_Int_Tables_number 1
_symmetry_space_group_name_Hall 'P 1'
_cell_length_a 5.218
_cell_length_b 5.218
_cell_length_c 5.218
_cell_angle_alpha 60.00
_cell_angle_beta 60.00
_cell_angle_gamma 60.00
loop_
_atom_site_label
_atom_site_type_symbol
_atom_site_fract_x
_atom_site_fract_y
_atom_site_fract_z
As1 As 0.000 0.000 0.000
Os1 Os 0.375 0.375 0.375
Os2 Os 0.375 0.375 0.875
Os3 Os 0.375 0.875 0.375
Os4 Os 0.875 0.375 0.375
Au1 Au 0.750 0.750 0.750


Entry 2:
# AsOsAu2, relaxed, DFT PBE
# energy of formation from the pure elements: 222 kJ/mol of formula units
# calculated total energy: -5.032 eV per atom
# M_tot: 0.00 Bohr magnetons per cell
data_AsOsAu2
_chemical_formula_sum 'As2 Os2 Au4'
_symmetry_space_group_name_H-M 'P 1'
_symmetry_Int_Tables_number 1
_symmetry_space_group_name_Hall 'P 1'
_cell_length_a 2.788
_cell_length_b 4.967
_cell_length_c 10.079
_cell_angle_alpha 90.00
_cell_angle_beta 90.00
_cell_angle_gamma 90.00
loop_
_atom_site_label
_atom_site_type_symbol
_atom_site_fract_x
_atom_site_fract_y
_atom_site_fract_z
As1 As 0.000 0.000 0.000
As2 As 0.500 0.500 0.000
Os1 Os 0.000 0.000 0.500
Os2 Os 0.500 0.500 0.500
Au1 Au 0.000 0.500 0.258
Au2 Au 0.000 0.500 0.742
Au3 Au 0.500 0.000 0.258
Au4 Au 0.500 0.000 0.742


Entry 3:
# As2OsAu, relaxed, DFT PBE
# relative energy among the computed polymorphs: 170.0 meV/atom
# energy of formation from the pure elements: 152 kJ/mol of formula units
# calculated total energy: -5.558 eV per atom
# M_tot: 0.00 Bohr magnetons per cell
data_As2OsAu
_chemical_formula_sum 'As4 Os2 Au2'
_symmetry_space_group_name_H-M 'P 1'
_symmetry_Int_Tables_number 1
_symmetry_space_group_name_Hall 'P 1'
_cell_length_a 2.893
_cell_length_b 4.916
_cell_length_c 10.531
_cell_angle_alpha 90.00
_cell_angle_beta 90.00
_cell_angle_gamma 90.00
loop_
_atom_site_label
_atom_site_type_symbol
_atom_site_fract_x
_atom_site_fract_y
_atom_site_fract_z
As1 As 0.000 0.000 0.202
As2 As 0.000 0.000 0.798
As3 As 0.500 0.500 0.202
As4 As 0.500 0.500 0.798
Os1 Os 0.000 0.500 0.000
Os2 Os 0.500 0.000 0.000
Au1 Au 0.000 0.500 0.500
Au2 Au 0.500 0.000 0.500


Entry 4:
# AsOsAu4, relaxed, DFT PBE
# energy of formation from the pure elements: 511 kJ/mol of formula units
# calculated total energy: -3.948 eV per atom
# M_tot: 2.00 Bohr magnetons per cell
data_AsOsAu4
_chemical_formula_sum 'As1 Os1 Au4'
_symmetry_space_group_name_H-M 'P 1'
_symmetry_Int_Tables_number 1
_symmetry_space_group_name_Hall 'P 1'
_cell_length_a 5.443
_cell_length_b 5.443
_cell_length_c 5.443
_cell_angle_alpha 60.00
_cell_angle_beta 60.00
_cell_angle_gamma 60.00
loop_
_atom_site_label
_atom_site_type_symbol
_atom_site_fract_x
_atom_site_fract_y
_atom_site_fract_z
As1 As 0.000 0.000 0.000
Os1 Os 0.250 0.250 0.250
Au1 Au 0.125 0.625 0.625
Au2 Au 0.625 0.125 0.625
Au3 Au 0.625 0.625 0.125
Au4 Au 0.625 0.625 0.625


Entry 5:
# As2OsAu, relaxed, DFT PBE
# relative energy among the computed polymorphs: 414.1 meV/atom
# energy of formation from the pure elements: 246 kJ/mol of formula units
# calculated total energy: -5.314 eV per atom
# M_tot: 0.00 Bohr magnetons per cell
data_As2OsAu
_chemical_formula_sum 'As4 Os2 Au2'
_symmetry_space_group_name_H-M 'P 1'
_symmetry_Int_Tables_number 1
_symmetry_space_group_name_Hall 'P 1'
_cell_length_a 3.901
_cell_length_b 3.901
_cell_length_c 8.817
_cell_angle_alpha 90.00
_cell_angle_beta 90.00
_cell_angle_gamma 90.00
loop_
_atom_site_label
_atom_site_type_symbol
_atom_site_fract_x
_atom_site_fract_y
_atom_site_fract_z
As1 As 0.000 0.000 0.000
As2 As 0.000 0.500 0.250
As3 As 0.500 0.000 0.750
As4 As 0.500 0.500 0.500
Os1 Os 0.000 0.000 0.500
Os2 Os 0.500 0.500 0.000
Au1 Au 0.000 0.500 0.750
Au2 Au 0.500 0.000 0.250


Entry 6:
# AsOsAu2, relaxed, DFT PBE
# energy of formation from the pure elements: 236 kJ/mol of formula units
# calculated total energy: -4.997 eV per atom
# M_tot: 0.00 Bohr magnetons per cell
data_AsOsAu2
_chemical_formula_sum 'As1 Os1 Au2'
_symmetry_space_group_name_H-M 'P 1'
_symmetry_Int_Tables_number 1
_symmetry_space_group_name_Hall 'P 1'
_cell_length_a 3.041
_cell_length_b 4.499
_cell_length_c 4.976
_cell_angle_alpha 90.00
_cell_angle_beta 90.00
_cell_angle_gamma 90.00
loop_
_atom_site_label
_atom_site_type_symbol
_atom_site_fract_x
_atom_site_fract_y
_atom_site_fract_z
As1 As 0.000 0.000 0.000
Os1 Os 0.500 0.500 0.000
Au1 Au 0.000 0.500 0.500
Au2 Au 0.500 0.000 0.500